A plane-wave DFT calculation with PBE-GGA was carried out for an optimized crystal structure of Cs2Bi4Pb5.

POSCAR file:
```
Cs2Bi4Pb5
1.0
7.434 0.000 0.000
3.717 6.209 0.000
3.717 0.000 9.775
Cs Bi Pb
2 4 5
Direct
0.865 0.000 0.270
0.135 0.000 0.730
0.506 0.269 0.720
0.494 0.731 0.280
0.225 0.269 0.280
0.775 0.731 0.720
0.500 0.000 0.000
0.000 0.500 0.000
0.500 0.500 0.000
0.250 0.500 0.500
0.750 0.500 0.500
```

Calculated values
- relative energy among the computed polymorphs (eV per formula unit) = 0.00
- N(E_F) (states/eV/atom) = 0.478
- DFT formation energy (eV per atom) = -0.085